[1]
# YZnAg2

An optimized crystal structure of YZnAg2 (GGA-PBE, Alexandria).

Cell lengths 3.5012, 3.5012, 6.6219 Å; angles 90.00, 90.00, 90.00 degrees
Sites, in units of the cell vectors:
Y (0.0000, 0.0000, 0.0000)
Zn (0.5000, 0.5000, 0.2837)
Ag (0.0000, 0.0000, 0.4811)
Ag (0.5000, 0.5000, 0.7173)

Values from the calculation:
**Spin magnetization**: 0.00 Bohr magnetons per cell
**SG**: No. 99
**Crystal system**: tetragonal
**Energy of formation from the pure elements**: -0.18 eV per atom


[2]
# YZnAg2

An optimized crystal structure of YZnAg2 (GGA-PBE, Alexandria).

Cell lengths 3.3773, 4.3613, 5.8935 Å; angles 90.00, 106.53, 90.00 degrees
Sites, in units of the cell vectors:
Y (0.0000, 0.0000, 0.0000)
Zn (0.6128, 0.5000, 0.2288)
Ag (0.3412, 0.5000, 0.6843)
Ag (0.7358, 0.0000, 0.4753)

Values from the calculation:
**Spin magnetization**: 0.00 Bohr magnetons per cell
**SG**: No. 6
**Crystal system**: monoclinic
**Energy of formation from the pure elements**: -0.14 eV per atom


[3]
# YZn2Ag

An optimized crystal structure of YZn2Ag (GGA-PBE, Alexandria).

Cell lengths 3.4542, 3.4542, 6.6051 Å; angles 90.00, 90.00, 90.00 degrees
Sites, in units of the cell vectors:
Y (0.0000, 0.0000, 0.0000)
Zn (0.0000, 0.0000, 0.4844)
Zn (0.5000, 0.5000, 0.2790)
Ag (0.5000, 0.5000, 0.7052)

Values from the calculation:
**Spin magnetization**: 0.00 Bohr magnetons per cell
**SG**: No. 99
**Crystal system**: tetragonal
**Energy of formation from the pure elements**: -0.15 eV per atom


[4]
# Y2Zn16Ag

An optimized crystal structure of Y2Zn16Ag (GGA-PBE, Alexandria).

Cell lengths 6.8111, 6.8111, 6.8111 Å; angles 82.73, 82.73, 82.73 degrees
Sites, in units of the cell vectors:
Y (0.0000, 0.0000, 0.0000)
Y (0.3253, 0.3253, 0.3253)
Zn (0.0152, 0.0152, 0.5013)
Zn (0.0152, 0.5013, 0.0152)
Zn (0.1647, 0.6618, 0.6618)
Zn (0.3091, 0.3091, 0.8263)
Zn (0.3091, 0.8263, 0.3091)
Zn (0.3656, 0.6630, 0.9601)
Zn (0.3656, 0.9601, 0.6630)
Zn (0.5013, 0.0152, 0.0152)
Zn (0.5563, 0.5563, 0.5563)
Zn (0.6618, 0.1647, 0.6618)
Zn (0.6618, 0.6618, 0.1647)
Zn (0.6630, 0.3656, 0.9601)
Zn (0.6630, 0.9601, 0.3656)
Zn (0.8263, 0.3091, 0.3091)
Zn (0.9601, 0.3656, 0.6630)
Zn (0.9601, 0.6630, 0.3656)
Ag (0.7610, 0.7610, 0.7610)

Values from the calculation:
**Spin magnetization**: 0.00 Bohr magnetons per cell
**SG**: No. 160
**Crystal system**: trigonal
**Energy of formation from the pure elements**: -0.24 eV per atom